Crystalline La2MgMoO at its relaxed geometry. Source: Alexandria, functional GGA+U.

```
La2MgMoO
1.0
5.349 0.000 0.000
0.000 5.349 0.000
0.000 0.000 4.984
La Mg Mo O
2 1 1 1
direct
0.000 0.500 0.000
0.500 0.000 0.000
0.000 0.000 0.500
0.000 0.000 0.000
0.500 0.500 0.500
```

energy = -4.07 eV/atom
magnetic moment = 0.088 μB/atom